Ba3Ag4Hg4: optimized geometry, PBE.

Spin magnetization   0.00 μB/f.u.
Raw total energy   -1.995 eV/atom
Symmetry   P-1 (2)

Unit cell a=4.536 b=4.988 c=15.163 alpha=80.37 beta=81.48 gamma=89.94
Sites, in units of the cell vectors:
Ag1 0.308 0.807 0.384
Ag2 0.547 0.548 0.905
Hg1 0.254 0.253 0.492
Ag3 0.453 0.452 0.095
Hg2 0.596 0.098 0.808
Hg3 0.746 0.747 0.508
Hg4 0.404 0.902 0.192
Ag4 0.692 0.193 0.616
Ba1 0.148 0.648 0.705
Ba2 0.000 0.000 0.000
Ba3 0.852 0.352 0.295

BaAgHg2: optimized geometry, PBE.

Spin magnetization   0.00 μB/f.u.
Raw total energy   -1.661 eV/atom
Symmetry   Cm (8)

Unit cell a=5.045 b=5.045 c=6.271 alpha=66.12 beta=66.12 gamma=60.04
Sites, in units of the cell vectors:
Ag1 0.553 0.553 0.341
Hg1 0.971 0.971 0.089
Ba1 0.759 0.759 0.721
Hg2 0.217 0.217 0.350

Ba2Ag5Hg3: optimized geometry, PBE.

Spin magnetization   0.00 μB/f.u.
Raw total energy   -2.121 eV/atom
Symmetry   P-4m2 (115)

Unit cell a=4.929 b=4.929 c=11.353 alpha=90.00 beta=90.00 gamma=90.00
Sites, in units of the cell vectors:
Hg1 0.000 0.000 0.500
Hg2 0.000 0.500 0.358
Ba1 0.500 0.000 0.236
Ag1 0.000 0.000 0.000
Ag2 0.500 0.500 0.500
Ba2 0.000 0.500 0.764
Hg3 0.500 0.000 0.642
Ag3 0.000 0.500 0.114
Ag4 0.500 0.500 0.000
Ag5 0.500 0.000 0.886

Ba7Ag2Hg2: optimized geometry, PBE.

Spin magnetization   0.00 μB/f.u.
Raw total energy   -2.065 eV/atom
Symmetry   Imm2 (44)

Unit cell a=4.623 b=11.215 c=11.215 alpha=61.48 beta=78.11 gamma=78.11
Sites, in units of the cell vectors:
Ba1 0.191 0.707 0.912
Ba2 0.130 0.131 0.608
Ba3 0.386 0.719 0.509
Hg1 0.500 0.351 0.649
Hg2 0.000 0.765 0.235
Ag1 0.259 0.348 0.133
Ba4 0.614 0.491 0.281
Ba5 0.809 0.088 0.293
Ag2 0.741 0.867 0.652
Ba6 0.500 0.996 0.004
Ba7 0.870 0.392 0.869

Which of these has the lowest raw total energy? Ba2Ag5Hg3

Look up the spin magnetization of the fourth one. 0.00 μB/f.u.